No. 1
Entry from Alexandria via LeMat-Bulk: an optimized crystal structure of LaCe3Tm2As6 (PBE).

Lattice parameters (Å, degrees): 7.271 12.596 7.260 90.00 109.55 90.00
Space group C2/m (No. 12)
Unique sites:
La  0.000  0.000  0.000 x2
Ce  0.000  0.164  0.500 x4
Ce  0.000  0.500  0.500 x2
Tm  0.000  0.332  0.000 x4
As  0.239  0.500  0.246 x4
As  0.245  0.328  0.751 x8

Summary:
* volume: 627 Å³ per cell
* E: -6.43 eV/atom
* magnetic moment: 1.985 μB/f.u.
* DFT formation energy: -1.46 eV/atom

=====

No. 2
Entry from Alexandria via LeMat-Bulk: an optimized crystal structure of YAl2Cu (PBE).

Lattice parameters (Å, degrees): 5.4988 5.4988 25.0577 90.00 90.00 120.00
Space group R-3m (No. 166, hexagonal axes)
Unique sites:
Y  0.0000  0.0000  0.0000 x3
Y  0.0000  0.0000  0.1415 x6
Al  0.0014  0.5007  0.9192 x18
Cu  0.0000  0.0000  0.3345 x6
Cu  0.0000  0.0000  0.5000 x3

Summary:
* volume: 656 Å³ per cell
* E: -4.99 eV/atom
* magnetic moment: 0.001 μB/f.u.
* DFT formation energy: -0.47 eV/atom

=====

No. 3
Entry from Alexandria via LeMat-Bulk: an optimized crystal structure of La8Sn2Ru3 (PBE).

Lattice parameters (Å, degrees): 9.230 5.203 9.247 90.00 114.03 90.00
Space group P2/m (No. 10)
Unique sites:
La  0.107  0.000  0.392 x2
La  0.149  0.500  0.865 x2
La  0.364  0.500  0.649 x2
La  0.388  0.000  0.113 x2
Sn  0.243  0.500  0.257 x2
Ru  0.249  0.000  0.749 x2
Ru  0.500  0.500  0.000 x1

Summary:
* volume: 406 Å³ per cell
* E: -6.13 eV/atom
* magnetic moment: 0.000 μB/f.u.
* DFT formation energy: -0.34 eV/atom

=====

No. 4
Entry from Alexandria via LeMat-Bulk: an optimized crystal structure of TbZrRu2 (PBE).

Lattice parameters (Å, degrees): 3.329 3.329 6.757 90.00 90.00 90.00
Space group P4/mmm (No. 123)
Unique sites:
Tb  0.000  0.000  0.000 x1
Zr  0.000  0.000  0.500 x1
Ru  0.500  0.500  0.268 x2

Summary:
* volume: 75 Å³ per cell
* E: -8.43 eV/atom
* magnetic moment: 0.000 μB/f.u.
* DFT formation energy: -0.50 eV/atom

=====

No. 5
Entry from Alexandria via LeMat-Bulk: an optimized crystal structure of PaNi3As3 (PBE).

Lattice parameters (Å, degrees): 6.7058 6.7058 19.5545 90.00 90.00 120.00
Space group R-3 (No. 148, hexagonal axes)
Unique sites:
Pa  0.0000  0.0000  0.1665 x6
Ni  0.0010  0.6552  0.6251 x18
As  0.0008  0.6872  0.4120 x18

Summary:
* volume: 762 Å³ per cell
* E: -6.30 eV/atom
* magnetic moment: 0.000 μB/f.u.
* DFT formation energy: -0.48 eV/atom

=====

No. 6
Entry from Alexandria via LeMat-Bulk: an optimized crystal structure of NdPaS2 (PBE).

Lattice parameters (Å, degrees): 3.8020 3.8020 21.6795 90.00 90.00 120.00
Space group R3m (No. 160, hexagonal axes)
Unique sites:
Nd  0.0000  0.0000  0.0000 x3
Pa  0.0000  0.0000  0.1740 x3
S  0.0000  0.0000  0.5848 x3
S  0.0000  0.0000  0.7573 x3

Summary:
* volume: 271 Å³ per cell
* E: -7.28 eV/atom
* magnetic moment: 0.710 μB/f.u.
* ΔE_f (raw): -1653 meV/atom